# Ag3GeP

A geometry-optimized Ag3GeP structure (GGA-PBE, the Alexandria database).

Unit cell a=4.7920 b=4.7920 c=4.7920 alpha=90.00 beta=90.00 gamma=90.00
Fractional coordinates of all 5 atoms:
Ag 0.0000 0.0000 0.5000
Ag 0.0000 0.5000 0.0000
Ag 0.5000 0.0000 0.0000
Ge 0.5000 0.5000 0.5000
P 0.0000 0.0000 0.0000

Density ... 6.45 g/cm³
ΔH_f (0 K) ... 0.48 eV per atom
DFT total energy ... -16.18 eV per cell
Magnetic moment ... 0.00 Bohr magnetons per cell